# 1
ErZrBeTc (PBE, relaxed); energy relative to the elements = -0.06 eV per atom; calculated density = 8.25 Mg/m³
1.0
-1.352 4.502 0.174
-4.233 1.119 1.718
-0.350 2.192 4.147
Be Zr Tc Er
1 1 1 1
Cartesian
0.000 0.000 0.000
-4.451 5.860 4.530
-2.968 3.906 3.020
-1.484 1.953 1.510

# 2
Tb2SmO4 (PBE, relaxed); formation energy from raw total energies = -3.18 eV/atom; calculated density = 7.84 Mg/m³
1.0
3.455 0.000 0.000
0.000 5.918 -0.104
-1.728 -2.987 5.563
Sm O Tb
1 4 2
Cartesian
0.000 0.000 0.000
0.000 2.170 3.814
0.000 4.163 1.453
1.728 0.761 1.645
1.728 -1.232 4.006
0.000 -0.023 3.226
1.728 2.954 2.233

# 3
Rb2HIrCl6 (PBE, relaxed); total DFT energy (no corrections) = -3.492 eV/atom; calculated density = 3.72 Mg/m³
1.0
7.940 0.000 0.000
0.000 7.940 0.000
3.970 3.970 4.089
Cl Rb H Ir
6 2 1 1
Cartesian
6.278 6.278 0.000
6.278 1.662 0.000
1.662 1.662 0.000
1.662 6.278 0.000
7.940 7.940 2.523
3.970 3.970 1.566
7.940 3.970 2.044
3.970 7.940 2.044
3.970 3.970 0.000
0.000 0.000 0.000

# 4
HfCo2Cl (PBE, relaxed); formation energy from raw total energies = 0.48 eV/atom; calculated density = 9.37 Mg/m³
1.0
-3.262 1.533 2.461
-2.061 3.672 -1.148
-4.107 -0.170 -1.467
Hf Cl Co
1 1 2
Cartesian
-4.715 2.517 -0.077
0.000 0.000 0.000
-7.072 3.776 -0.116
-2.357 1.259 -0.039

# 5
K3Cr2 (PBE, relaxed); energy relative to the elements = 1.09 eV per atom; calculated density = 1.79 Mg/m³
1.0
15.600 -1.954 -0.020
15.600 1.954 -0.020
15.360 0.000 3.355
Cr K
2 3
Cartesian
28.151 0.000 2.004
18.409 0.000 1.311
9.796 0.000 0.697
36.764 0.000 2.617
0.000 0.000 0.000

# 6
In2Ag5Br12 (PBE, relaxed); formation energy from raw total energies = -0.48 eV/atom; calculated density = 4.54 Mg/m³
1.0
7.113 0.489 -3.774
-0.646 9.276 -4.167
-1.622 0.297 10.186
Br Ag In
12 5 2
Cartesian
5.979 9.684 -4.725
3.403 4.541 2.642
-0.280 4.272 4.516
2.589 0.524 4.992
-1.133 0.378 6.971
1.443 5.521 -0.396
-0.135 1.960 0.032
2.256 9.538 -2.747
4.981 8.102 2.213
3.419 2.167 -1.915
1.427 7.895 4.160
5.126 5.790 -2.271
6.790 5.127 -5.857
0.688 4.951 2.116
4.158 5.111 0.130
0.407 1.963 5.456
4.439 8.100 -3.211
3.726 0.665 7.329
1.120 9.397 -5.084

The calculation returns the following magnetization values, one per record and in order: 0.000 0.000 0.572 0.496 10.021 0.000 μB/cell.